Record 1
# Pb2BrCl

Crystalline Pb2BrCl at its relaxed geometry (GGA-PBE, Alexandria).

Properties
Calculated volume in Å³/atom: 28.46
Uncorrected formation energy in kcal/mol of atoms: -9.10
Symmetry: I4/mmm
Excess energy over the best structure of this formula in the dataset in eV per atom: 0.149
Total energy in eV/atom: -3.129

abc: 5.798 5.798 5.798
angles: 129.26 129.26 74.59
Element x y z (fractional)
Pb (0.000, 0.000, 0.000)
Pb (0.500, 0.500, 0.000)
Br (0.250, 0.750, 0.500)
Cl (0.750, 0.250, 0.500)



Record 2
# PbBr2Cl

Crystalline PbBr2Cl at its relaxed geometry (GGA-PBE, Alexandria).

Properties
Calculated volume in Å³/atom: 34.58
Uncorrected formation energy in kcal/mol of atoms: -13.59
Symmetry: Pm
Excess energy over the best structure of this formula in the dataset in eV per atom: 0.038
Total energy in eV/atom: -2.815

abc: 5.464 5.129 5.676
angles: 60.43 90.00 90.00
Element x y z (fractional)
Pb (0.500, 0.504, 0.712)
Br (0.000, 0.139, 0.946)
Br (0.500, 0.200, 0.393)
Cl (0.000, 0.657, 0.449)



Record 3
# PbBr2Cl

Crystalline PbBr2Cl at its relaxed geometry (GGA-PBE, Alexandria).

Properties
Calculated volume in Å³/atom: 32.48
Uncorrected formation energy in kcal/mol of atoms: -14.47
Symmetry: Cmmm
Excess energy over the best structure of this formula in the dataset in eV per atom: 0.000
Total energy in eV/atom: -2.852

abc: 4.616 5.725 5.724
angles: 59.21 90.00 90.00
Element x y z (fractional)
Pb (0.500, 0.750, 0.750)
Br (0.000, 0.974, 0.974)
Br (0.000, 0.526, 0.526)
Cl (0.500, 0.250, 0.250)



Record 4
# Pb2BrCl

Crystalline Pb2BrCl at its relaxed geometry (GGA-PBE, Alexandria).

Properties
Calculated volume in Å³/atom: 32.94
Uncorrected formation energy in kcal/mol of atoms: -11.70
Symmetry: Pm
Excess energy over the best structure of this formula in the dataset in eV per atom: 0.037
Total energy in eV/atom: -3.241

abc: 6.108 3.526 6.992
angles: 61.03 90.00 90.00
Element x y z (fractional)
Pb (0.000, 0.940, 0.878)
Pb (0.500, 0.305, 0.374)
Br (0.000, 0.375, 0.380)
Cl (0.500, 0.881, 0.868)



Record 5
# Pb2Br2Cl

Crystalline Pb2Br2Cl at its relaxed geometry (GGA-PBE, Alexandria).

Properties
Calculated volume in Å³/atom: 30.28
Uncorrected formation energy in kcal/mol of atoms: -16.57
Symmetry: P4/mbm
Excess energy over the best structure of this formula in the dataset in eV per atom: 0.000
Total energy in eV/atom: -3.240

abc: 7.962 7.962 4.777
angles: 90.00 90.00 90.00
Element x y z (fractional)
Pb (0.340, 0.840, 0.000)
Pb (0.840, 0.660, 0.000)
Pb (0.660, 0.160, 0.000)
Pb (0.160, 0.340, 0.000)
Br (0.163, 0.663, 0.500)
Br (0.663, 0.837, 0.500)
Br (0.837, 0.337, 0.500)
Br (0.337, 0.163, 0.500)
Cl (0.000, 0.000, 0.000)
Cl (0.500, 0.500, 0.000)



Record 6
# Pb2BrCl

Crystalline Pb2BrCl at its relaxed geometry (GGA-PBE, Alexandria).

Properties
Calculated volume in Å³/atom: 29.86
Uncorrected formation energy in kcal/mol of atoms: -10.38
Symmetry: Pmm2
Excess energy over the best structure of this formula in the dataset in eV per atom: 0.094
Total energy in eV/atom: -3.184

abc: 3.624 4.977 6.621
angles: 90.00 90.00 90.00
Element x y z (fractional)
Pb (0.000, 0.000, 0.940)
Pb (0.500, 0.500, 0.254)
Br (0.000, 0.000, 0.490)
Cl (0.500, 0.500, 0.816)



Record 7
# Pb2Br2Cl

Crystalline Pb2Br2Cl at its relaxed geometry (GGA-PBE, Alexandria).

Properties
Calculated volume in Å³/atom: 38.50
Uncorrected formation energy in kcal/mol of atoms: -16.08
Symmetry: C2/m
Excess energy over the best structure of this formula in the dataset in eV per atom: 0.021
Total energy in eV/atom: -3.219

abc: 6.489 7.849 9.035
angles: 111.06 90.00 114.42
Element x y z (fractional)
Pb (0.173, 0.345, 0.587)
Pb (0.827, 0.655, 0.413)
Pb (0.485, 0.970, 0.231)
Pb (0.515, 0.030, 0.769)
Br (0.664, 0.328, 0.578)
Br (0.336, 0.672, 0.422)
Br (0.013, 0.027, 0.740)
Br (0.987, 0.973, 0.260)
Cl (0.357, 0.714, 0.891)
Cl (0.643, 0.286, 0.109)



Record 8
# Pb2BrCl

Crystalline Pb2BrCl at its relaxed geometry (GGA-PBE, Alexandria).

Properties
Calculated volume in Å³/atom: 28.55
Uncorrected formation energy in kcal/mol of atoms: -8.12
Symmetry: Fm-3m
Excess energy over the best structure of this formula in the dataset in eV per atom: 0.192
Total energy in eV/atom: -3.086

abc: 5.446 5.446 5.446
angles: 60.00 60.00 60.00
Element x y z (fractional)
Pb (0.250, 0.250, 0.250)
Pb (0.750, 0.750, 0.750)
Br (0.500, 0.500, 0.500)
Cl (0.000, 0.000, 0.000)



Record 9
# Pb6Br5Cl7

Crystalline Pb6Br5Cl7 at its relaxed geometry (GGA-PBE, Alexandria).

Properties
Calculated volume in Å³/atom: 36.44
Uncorrected formation energy in kcal/mol of atoms: -24.15
Symmetry: Amm2
Total energy in eV/atom: -3.466

abc: 6.967 6.967 13.532
angles: 90.00 90.00 86.90
Element x y z (fractional)
Pb (0.002, 0.002, 0.167)
Pb (0.002, 0.002, 0.833)
Pb (0.988, 0.988, 0.500)
Pb (0.504, 0.504, 0.338)
Pb (0.501, 0.501, 0.000)
Pb (0.504, 0.504, 0.662)
Br (0.303, 0.303, 0.170)
Br (0.303, 0.303, 0.830)
Br (0.295, 0.295, 0.500)
Br (0.702, 0.702, 0.167)
Br (0.702, 0.702, 0.833)
Cl (0.198, 0.808, 0.000)
Cl (0.193, 0.801, 0.666)
Cl (0.193, 0.801, 0.334)
Cl (0.698, 0.698, 0.500)
Cl (0.808, 0.198, 0.000)
Cl (0.801, 0.193, 0.666)
Cl (0.801, 0.193, 0.334)



Record 10
# Pb2Br3Cl

Crystalline Pb2Br3Cl at its relaxed geometry (GGA-PBE, Alexandria).

Properties
Calculated volume in Å³/atom: 36.36
Uncorrected formation energy in kcal/mol of atoms: -22.47
Symmetry: C2/m
Excess energy over the best structure of this formula in the dataset in eV per atom: 0.000
Total energy in eV/atom: -3.355

abc: 4.550 9.154 11.399
angles: 73.32 78.49 75.61
Element x y z (fractional)
Pb (0.863, 0.439, 0.836)
Pb (0.137, 0.561, 0.164)
Pb (0.619, 0.198, 0.563)
Pb (0.381, 0.802, 0.437)
Br (0.052, 0.138, 0.757)
Br (0.948, 0.862, 0.243)
Br (0.657, 0.697, 0.990)
Br (0.343, 0.303, 0.010)
Br (0.769, 0.845, 0.616)
Br (0.231, 0.155, 0.384)
Cl (0.422, 0.501, 0.656)
Cl (0.578, 0.499, 0.344)



Record 11
# Pb2BrCl

Crystalline Pb2BrCl at its relaxed geometry (GGA-PBE, Alexandria).

Properties
Calculated volume in Å³/atom: 31.16
Uncorrected formation energy in kcal/mol of atoms: -11.43
Symmetry: I-42d
Excess energy over the best structure of this formula in the dataset in eV per atom: 0.048
Total energy in eV/atom: -3.230

abc: 8.475 8.475 6.925
angles: 52.27 52.27 90.00
Element x y z (fractional)
Pb (0.614, 0.125, 0.250)
Pb (0.136, 0.625, 0.250)
Pb (0.375, 0.386, 0.750)
Pb (0.875, 0.864, 0.750)
Br (0.000, 0.000, 0.000)
Br (0.750, 0.250, 0.500)
Cl (0.500, 0.500, 0.000)
Cl (0.250, 0.750, 0.500)



Record 12
# Pb2BrCl

Crystalline Pb2BrCl at its relaxed geometry (GGA-PBE, Alexandria).

Properties
Calculated volume in Å³/atom: 29.37
Uncorrected formation energy in kcal/mol of atoms: -12.37
Symmetry: Pmmm
Excess energy over the best structure of this formula in the dataset in eV per atom: 0.007
Total energy in eV/atom: -3.271

abc: 3.772 6.324 4.925
angles: 90.00 90.00 90.00
Element x y z (fractional)
Pb (0.000, 0.000, 0.000)
Pb (0.500, 0.500, 0.000)
Br (0.500, 0.000, 0.500)
Cl (0.000, 0.500, 0.500)



Record 13
# PbBr2Cl

Crystalline PbBr2Cl at its relaxed geometry (GGA-PBE, Alexandria).

Properties
Calculated volume in Å³/atom: 31.72
Uncorrected formation energy in kcal/mol of atoms: -13.22
Symmetry: I-42d
Excess energy over the best structure of this formula in the dataset in eV per atom: 0.054
Total energy in eV/atom: -2.799

abc: 9.471 9.471 7.270
angles: 49.36 49.36 90.00
Element x y z (fractional)
Pb (0.000, 0.000, 0.000)
Pb (0.750, 0.250, 0.500)
Br (0.654, 0.125, 0.250)
Br (0.096, 0.625, 0.250)
Br (0.375, 0.346, 0.750)
Br (0.875, 0.904, 0.750)
Cl (0.500, 0.500, 0.000)
Cl (0.250, 0.750, 0.500)



Record 14
# Pb2BrCl

Crystalline Pb2BrCl at its relaxed geometry (GGA-PBE, Alexandria).

Properties
Calculated volume in Å³/atom: 29.36
Uncorrected formation energy in kcal/mol of atoms: -12.48
Symmetry: P2/m
Excess energy over the best structure of this formula in the dataset in eV per atom: 0.003
Total energy in eV/atom: -3.275

abc: 4.925 3.677 6.488
angles: 88.60 90.00 90.00
Element x y z (fractional)
Pb (0.000, 0.993, 0.989)
Pb (0.000, 0.507, 0.511)
Br (0.500, 0.250, 0.250)
Cl (0.500, 0.750, 0.750)



Record 15
# PbBr2Cl

Crystalline PbBr2Cl at its relaxed geometry (GGA-PBE, Alexandria).

Properties
Calculated volume in Å³/atom: 27.23
Uncorrected formation energy in kcal/mol of atoms: -8.44
Symmetry: F-43m
Excess energy over the best structure of this formula in the dataset in eV per atom: 0.261
Total energy in eV/atom: -2.591

abc: 5.361 5.361 5.361
angles: 60.00 60.00 60.00
Last column: magnetic moment on the atom in μB.
Element x y z (fractional)
Pb (0.750, 0.750, 0.750)  0.00
Br (0.000, 0.000, 0.000)  0.22
Br (0.250, 0.250, 0.250)  0.46
Cl (0.500, 0.500, 0.500)  0.11



Record 16
# PbBr2Cl

Crystalline PbBr2Cl at its relaxed geometry (GGA-PBE, Alexandria).

Properties
Calculated volume in Å³/atom: 30.33
Uncorrected formation energy in kcal/mol of atoms: -10.97
Symmetry: P4/mmm
Excess energy over the best structure of this formula in the dataset in eV per atom: 0.152
Total energy in eV/atom: -2.701

abc: 4.637 4.647 5.630
angles: 90.00 90.00 90.00
Element x y z (fractional)
Pb (0.500, 0.500, 0.750)
Br (0.000, 0.000, 0.001)
Br (0.000, 0.000, 0.499)
Cl (0.500, 0.500, 0.250)



Record 17
# Pb3BrCl

Crystalline Pb3BrCl at its relaxed geometry (GGA-PBE, Alexandria).

Properties
Calculated volume in Å³/atom: 37.13
Uncorrected formation energy in kcal/mol of atoms: 4.20
Symmetry: Pm-3m
Excess energy over the best structure of this formula in the dataset in eV per atom: 0.000
Total energy in eV/atom: -2.747

abc: 5.705 5.705 5.705
angles: 90.00 90.00 90.00
Element x y z (fractional)
Pb (0.000, 0.500, 0.000)
Pb (0.000, 0.000, 0.500)
Pb (0.500, 0.000, 0.000)
Br (0.500, 0.500, 0.500)
Cl (0.000, 0.000, 0.000)



Record 18
# Pb2BrCl

Crystalline Pb2BrCl at its relaxed geometry (GGA-PBE, Alexandria).

Properties
Calculated volume in Å³/atom: 28.57
Uncorrected formation energy in kcal/mol of atoms: -9.05
Symmetry: Pmmm
Excess energy over the best structure of this formula in the dataset in eV per atom: 0.152
Total energy in eV/atom: -3.126

abc: 3.567 4.619 6.936
angles: 90.00 90.00 90.00
Element x y z (fractional)
Pb (0.000, 0.000, 0.996)
Pb (0.000, 0.000, 0.504)
Br (0.500, 0.500, 0.250)
Cl (0.500, 0.500, 0.750)



Record 19
# Pb2BrCl

Crystalline Pb2BrCl at its relaxed geometry (GGA-PBE, Alexandria).

Properties
Calculated volume in Å³/atom: 28.21
Uncorrected formation energy in kcal/mol of atoms: -5.31
Symmetry: F-43m
Excess energy over the best structure of this formula in the dataset in eV per atom: 0.314
Total energy in eV/atom: -2.964

abc: 5.424 5.424 5.424
angles: 60.00 60.00 60.00
Element x y z (fractional)
Pb (0.000, 0.000, 0.000)
Pb (0.250, 0.250, 0.250)
Br (0.500, 0.500, 0.500)
Cl (0.750, 0.750, 0.750)



Record 20
# Pb2BrCl

Crystalline Pb2BrCl at its relaxed geometry (GGA-PBE, Alexandria).

Properties
Calculated volume in Å³/atom: 29.66
Uncorrected formation energy in kcal/mol of atoms: -9.97
Symmetry: P4mm
Excess energy over the best structure of this formula in the dataset in eV per atom: 0.111
Total energy in eV/atom: -3.167

abc: 4.095 4.095 7.074
angles: 90.00 90.00 90.00
Element x y z (fractional)
Pb (0.000, 0.000, 0.951)
Pb (0.500, 0.500, 0.245)
Br (0.000, 0.000, 0.495)
Cl (0.500, 0.500, 0.809)



Record 21
# Pb4Br3Cl4

Crystalline Pb4Br3Cl4 at its relaxed geometry (GGA-PBE, Alexandria).

Properties
Calculated volume in Å³/atom: 29.10
Uncorrected formation energy in kcal/mol of atoms: -21.04
Symmetry: Immm
Total energy in eV/atom: -3.389

abc: 4.042 9.418 9.848
angles: 118.57 101.84 90.00
Element x y z (fractional)
Pb (0.249, 0.749, 0.498)
Pb (0.751, 0.251, 0.502)
Pb (0.500, 0.758, 0.000)
Pb (0.500, 0.242, 0.000)
Br (0.108, 0.108, 0.215)
Br (0.892, 0.892, 0.785)
Br (0.000, 0.500, 0.000)
Cl (0.329, 0.142, 0.658)
Cl (0.671, 0.483, 0.342)
Cl (0.671, 0.858, 0.342)
Cl (0.329, 0.517, 0.658)



Record 22
# PbBr2Cl

Crystalline PbBr2Cl at its relaxed geometry (GGA-PBE, Alexandria).

Properties
Calculated volume in Å³/atom: 35.18
Uncorrected formation energy in kcal/mol of atoms: -9.75
Symmetry: P4mm
Excess energy over the best structure of this formula in the dataset in eV per atom: 0.205
Total energy in eV/atom: -2.648

abc: 3.631 3.631 10.673
angles: 90.00 90.00 90.00
Last column: magnetic moment on the atom in μB.
Element x y z (fractional)
Pb (0.500, 0.500, 0.741)  0.00
Br (0.000, 0.000, 0.915)  0.00
Br (0.500, 0.500, 0.255)  0.38
Cl (0.000, 0.000, 0.589)  0.00



Record 23
# PbBr2Cl

Crystalline PbBr2Cl at its relaxed geometry (GGA-PBE, Alexandria).

Properties
Calculated volume in Å³/atom: 31.28
Uncorrected formation energy in kcal/mol of atoms: -9.35
Symmetry: R-3m
Excess energy over the best structure of this formula in the dataset in eV per atom: 0.222
Total energy in eV/atom: -2.631

abc: 6.990 6.990 6.990
angles: 39.64 39.64 39.64
Last column: magnetic moment on the atom in μB.
Element x y z (fractional)
Pb (0.750, 0.750, 0.750)  0.00
Br (0.011, 0.011, 0.011)  0.04
Br (0.489, 0.489, 0.489)  0.04
Cl (0.250, 0.250, 0.250)  0.10



Record 24
# PbBr2Cl

Crystalline PbBr2Cl at its relaxed geometry (GGA-PBE, Alexandria).

Properties
Calculated volume in Å³/atom: 26.94
Uncorrected formation energy in kcal/mol of atoms: -9.89
Symmetry: I4/mmm
Excess energy over the best structure of this formula in the dataset in eV per atom: 0.198
Total energy in eV/atom: -2.654

abc: 6.299 6.299 6.299
angles: 138.70 138.70 59.83
Element x y z (fractional)
Pb (0.750, 0.250, 0.500)
Br (0.000, 0.000, 0.000)
Br (0.500, 0.500, 0.000)
Cl (0.250, 0.750, 0.500)



Record 25
# Pb2BrCl

Crystalline Pb2BrCl at its relaxed geometry (GGA-PBE, Alexandria).

Properties
Calculated volume in Å³/atom: 29.27
Uncorrected formation energy in kcal/mol of atoms: -12.54
Symmetry: Cmmm
Excess energy over the best structure of this formula in the dataset in eV per atom: 0.000
Total energy in eV/atom: -3.278

abc: 3.671 3.671 9.856
angles: 90.00 90.00 118.20
Element x y z (fractional)
Pb (0.000, 0.000, 0.993)
Pb (0.000, 0.000, 0.507)
Br (0.500, 0.500, 0.250)
Cl (0.500, 0.500, 0.750)



Record 26
# PbBr2Cl

Crystalline PbBr2Cl at its relaxed geometry (GGA-PBE, Alexandria).

Properties
Calculated volume in Å³/atom: 32.54
Uncorrected formation energy in kcal/mol of atoms: -11.29
Symmetry: Fmmm
Excess energy over the best structure of this formula in the dataset in eV per atom: 0.138
Total energy in eV/atom: -2.715

abc: 5.637 5.503 5.507
angles: 61.62 75.14 104.83
Element x y z (fractional)
Pb (0.500, 0.000, 0.500)
Br (0.000, 0.000, 0.000)
Br (0.000, 0.500, 0.500)
Cl (0.500, 0.500, 0.000)



Record 27
# Pb2BrCl

Crystalline Pb2BrCl at its relaxed geometry (GGA-PBE, Alexandria).

Properties
Calculated volume in Å³/atom: 30.63
Uncorrected formation energy in kcal/mol of atoms: -12.36
Symmetry: Cm
Excess energy over the best structure of this formula in the dataset in eV per atom: 0.008
Total energy in eV/atom: -3.270

abc: 6.835 6.835 4.841
angles: 89.15 89.15 32.80
Element x y z (fractional)
Pb (0.987, 0.987, 0.122)
Pb (0.256, 0.256, 0.125)
Br (0.499, 0.499, 0.621)
Cl (0.758, 0.758, 0.633)